Record 1
VASP calculation (PBE) on a relaxed Sr3PuCu2O8 crystal.

The structure in extended XYZ format:
```
14
Lattice="5.7399 0.0000 0.0000 -2.8700 4.9709 0.0000 0.0000 0.0000 7.4721" Properties=species:S:1:pos:R:3 pbc="T T T"
O 1.4443 4.1478 2.5292
O 0.0000 1.6462 2.5292
O 4.3143 0.8231 4.9429
O 2.8700 1.6570 0.4055
O -1.4443 4.1478 2.5292
O 2.8700 3.3247 4.9429
O 0.0000 3.3139 7.0666
O 1.4257 0.8231 4.9429
Cu 0.0000 3.3139 1.3851
Cu 2.8700 1.6570 6.0870
Sr 2.8700 1.6570 2.6706
Sr 0.0000 0.0000 0.0000
Sr 0.0000 3.3139 4.8015
Pu 0.0000 0.0000 3.7360
```

Calculated values
- Total magnetic moment: 0.06 μB/f.u.
- Formation energy from raw total energies: -2.00 eV per atom


Record 2
VASP calculation (PBE) on a relaxed Sr2PuCu2O6 crystal.

The structure in extended XYZ format:
```
11
Lattice="-4.0573 -2.1725 -3.8910 -5.1863 -2.3049 2.0275 -5.3610 3.3501 -0.9477" Properties=species:S:1:pos:R:3 pbc="T T T"
O -8.3823 0.2374 -3.2574
O -6.2223 -1.3648 0.4462
O -8.4222 -2.5428 -1.6635
O -5.6102 -1.2930 -2.7628
O -6.1824 1.4153 -1.1477
O -8.9944 0.1656 -0.0484
Cu -6.7507 -1.7353 -1.3266
Cu -7.8539 0.6079 -1.4846
Pu 0.0000 0.0000 0.0000
Sr -3.9035 0.2541 -0.7389
Sr -10.7011 -1.3815 -2.0722
```

Calculated values
- Total magnetic moment: 2.00 μB/f.u.
- Formation energy from raw total energies: -2.02 eV per atom